The following is a GGA-PBE calculation of a relaxed ScOs2 crystal, from Alexandria via LeMat-Bulk.

Structure (POSCAR):
```
ScOs2
1.0
6.214 0.000 0.000
0.000 6.214 0.000
0.000 0.000 6.214
Sc Os
4 8
Cartesian
0.000 0.000 0.000
0.000 3.107 3.107
3.107 0.000 3.107
3.107 3.107 0.000
0.675 3.782 5.540
0.675 5.540 2.433
2.433 0.675 5.540
2.433 2.433 2.433
3.782 3.782 3.782
3.782 5.540 0.675
5.540 0.675 3.782
5.540 2.433 0.675
```

As for the energy: -8.103 eV/atom. As for the magnetic moment: 0.0 Bohr magnetons per cell. Its space group is Pa-3. As for the energy relative to the elements: 1.49 eV per atom.

The following is a GGA-PBE calculation of a relaxed Sc3Os2 crystal, from Alexandria via LeMat-Bulk.

Structure (POSCAR):
```
Sc3Os2
1.0
0.000 4.750 6.871
2.738 0.000 6.871
2.738 4.750 0.000
Sc Os
6 4
Cartesian
0.685 1.187 0.206
0.685 1.187 3.230
2.054 3.562 5.153
3.423 5.937 8.589
4.792 8.312 10.513
4.792 8.312 13.537
2.054 3.562 2.414
3.423 5.937 5.849
2.054 3.562 7.893
3.423 5.937 11.329
```

As for the energy: -8.448 eV/atom. As for the magnetic moment: 0.0 Bohr magnetons per cell. Its space group is Fddd. As for the energy relative to the elements: -0.16 eV per atom.

The following is a GGA-PBE calculation of a relaxed Sc3Os crystal, from Alexandria via LeMat-Bulk.

Structure (POSCAR):
```
Sc3Os
1.0
4.584 0.000 0.000
0.000 6.679 0.000
0.000 0.000 5.061
Sc Os
6 2
Cartesian
1.146 0.033 1.010
1.146 1.670 3.312
1.146 3.307 1.010
3.438 3.372 4.051
3.438 5.009 1.750
3.438 6.646 4.051
1.146 5.009 3.667
3.438 1.670 1.394
```

As for the energy: -7.766 eV/atom. As for the magnetic moment: 0.0 Bohr magnetons per cell. Its space group is Pmmn. As for the energy relative to the elements: -0.21 eV per atom.

The following is a GGA-PBE calculation of a relaxed ScOs2 crystal, from Alexandria via LeMat-Bulk.

Structure (POSCAR):
```
ScOs2
1.0
-2.021 2.021 11.760
2.021 -2.021 11.760
2.021 2.021 -11.760
Sc Os
4 8
Cartesian
2.021 1.011 1.095
2.021 1.011 4.785
0.000 1.011 6.975
0.000 1.011 10.665
2.021 -1.011 6.962
2.021 1.011 -2.880
2.021 -1.011 10.678
0.000 1.011 3.000
2.021 1.011 8.760
0.000 3.032 1.082
0.000 1.011 14.640
0.000 3.032 4.798
```

As for the energy: -9.562 eV/atom. As for the magnetic moment: 0.0 Bohr magnetons per cell. Its space group is I4_1/amd. As for the energy relative to the elements: 0.04 eV per atom.